GGA-PBEsol KLi2Ag, relaxed; mass density = 2628 kg/m³; E_form = 0.19 eV/atom; total magnetic moment = 0.00 μB/cell
1.0
-2.349 2.349 4.604
2.349 -2.349 4.604
2.349 2.349 -4.604
K Li Ag
1 2 1
Direct
0.000 0.000 0.000 K
0.500 0.500 0.000 Li
0.750 0.250 0.500 Li
0.250 0.750 0.500 Ag



GGA-PBEsol BePd3N, relaxed; formation energy from raw total energies = 0.185 eV/atom; mass density = 8789 kg/m³; total magnetic moment = 0.00 μB/cell
1.0
4.014 0.000 0.000
0.000 4.014 0.000
0.000 0.000 4.014
Be Pd N
1 3 1
Direct
0.000 0.000 0.000 Be
0.000 0.500 0.500 Pd
0.500 0.000 0.500 Pd
0.500 0.500 0.000 Pd
0.500 0.500 0.500 N



GGA-PBEsol InCo2W, relaxed; mass density = 12539 kg/m³; E_form = 0.56 eV/atom; total magnetic moment = 0.56 μB/cell
1.0
0.000 3.021 3.021
3.021 0.000 3.021
3.021 3.021 0.000
In Co W
1 2 1
Direct
0.000 0.000 0.000 In
0.250 0.250 0.250 Co
0.500 0.500 0.500 Co
0.750 0.750 0.750 W



GGA-PBEsol NiBi2Pd, relaxed; mass density = 11189 kg/m³; E_form = 0.20 eV/atom; total magnetic moment = 0.00 μB/cell
1.0
-3.564 3.564 3.406
3.564 -3.564 3.406
3.564 3.564 -3.406
Ni Bi Pd
2 4 2
Direct
0.000 0.000 0.000 Ni
0.750 0.250 0.500 Ni
0.105 0.125 0.480 Bi
0.375 0.895 0.020 Bi
0.645 0.625 0.520 Bi
0.875 0.355 0.980 Bi
0.250 0.750 0.500 Pd
0.500 0.500 0.000 Pd



GGA-PBEsol ScReIr2, relaxed; mass density = 16604 kg/m³; offset from the most stable computed form = 0.398 eV per atom; E_form = -0.03 eV/atom; total magnetic moment = 0.00 μB/cell
1.0
0.000 3.134 3.134
3.134 0.000 3.134
3.134 3.134 0.000
Sc Re Ir
1 1 2
Direct
0.000 0.000 0.000 Sc
0.500 0.500 0.500 Re
0.250 0.250 0.250 Ir
0.750 0.750 0.750 Ir



GGA-PBEsol YZnOs, relaxed; mass density = 8788 kg/m³; E_form = 0.96 eV/atom; total magnetic moment = 0.00 μB/cell
1.0
0.000 3.193 3.193
3.193 0.000 3.193
3.193 3.193 0.000
Y Zn Os
1 1 1
Direct
0.000 0.000 0.000 Y
0.750 0.750 0.750 Zn
0.250 0.250 0.250 Os



What is the formula in the sixth record?
YZnOs



Which value of mass density does entry 6 give?
8788 kg/m³



The lowest mass density belongs to which entry?
KLi2Ag